Entry 1:
The following is a DFT calculation (GGA-PBEsol) of a geometry-optimized CrCl2O structure.

```
CrCl2O
1.0
6.1873 -2.0297 0.0000
-4.2389 4.9430 0.0000
-0.9742 -1.4567 6.2715
Cl Cr O
4 2 2
Cartesian
-3.6444 4.0184 2.1275
-3.2011 2.6679 5.2632
-1.5249 1.5469 1.0082
-0.1075 1.6530 4.1440
-2.1195 2.4715 3.1357
0.0000 0.0000 0.0000
3.0936 -1.0149 3.1357
0.9742 1.4567 0.0000
```

Crystal system: tetragonal
VASP energy in eV per cell: -47.1
Space-group type: I-42d (122)
Formation energy (no corrections) in eV per atom: -1.0092

Entry 2:
The following is a DFT calculation (GGA-PBEsol) of a geometry-optimized CrS2ClO structure.

```
CrS2ClO
1.0
4.3365 0.0000 0.0000
0.0000 4.3365 0.0000
0.0000 0.0000 4.6730
O Cr Cl S
1 1 1 2
Cartesian
2.1682 2.1682 2.3365
0.0000 0.0000 0.0000
0.0000 0.0000 2.3365
0.0000 2.1682 0.0000
2.1682 0.0000 0.0000
```

Crystal system: tetragonal
VASP energy in eV per cell: -24.0
Space-group type: P4/mmm (123)
Formation energy (no corrections) in eV per atom: 0.4503

Entry 3:
The following is a DFT calculation (GGA-PBEsol) of a geometry-optimized Sr2CrClO4 structure.

```
Sr2CrClO4
1.0
6.4768 0.0000 0.0000
0.0000 7.4491 0.0000
0.0000 0.0000 11.3482
Sr O Cl Cr
8 16 4 4
Cartesian
2.4394 5.5868 5.6741
0.8916 3.4544 2.8370
0.8916 0.2702 8.5111
4.0375 1.8623 0.0000
2.4394 5.5868 0.0000
5.5852 3.9947 8.5111
5.5852 7.1789 2.8370
4.0375 1.8623 5.6741
4.6380 4.2821 10.9875
4.6380 6.8915 0.3607
4.6380 4.2821 6.0348
1.8388 3.1670 0.3607
0.2085 5.4136 1.3509
1.8388 3.1670 5.3134
1.8388 0.5575 6.0348
6.2684 2.0354 7.0250
6.2684 1.6891 4.3232
6.2684 1.6891 1.3509
0.2085 5.4136 4.3232
0.2085 5.7600 7.0250
1.8388 0.5575 10.9875
6.2684 2.0354 9.9973
0.2085 5.7600 9.9973
4.6380 6.8915 5.3134
3.3347 5.0789 2.8370
3.1421 2.3702 8.5111
3.1421 1.3544 2.8370
3.3347 6.0947 8.5111
0.8156 1.8623 0.0000
5.6612 5.5868 5.6741
5.6612 5.5868 0.0000
0.8156 1.8623 5.6741
```

Crystal system: orthorhombic
VASP energy in eV per cell: -229.3
Space-group type: Pbcm (57)
Formation energy (no corrections) in eV per atom: -2.5485

Entry 4:
The following is a DFT calculation (GGA-PBEsol) of a geometry-optimized CrOs2Cl structure.

```
CrOs2Cl
1.0
-2.4590 0.2229 1.2720
-1.8626 -2.4558 -3.1702
3.0235 -2.5117 3.2528
Os Cr Cl
2 1 1
Cartesian
-1.7015 -3.0480 0.2773
0.4034 -1.6966 1.0772
-0.9313 -1.2279 -1.5851
-1.2295 0.1115 0.6360
```

Crystal system: orthorhombic
VASP energy in eV per cell: -33.4
Space-group type: Immm (71)
Formation energy (no corrections) in eV per atom: 0.8091
Energy above the most stable polymorph in this dataset in eV per atom: 0.331

Entry 5:
The following is a DFT calculation (GGA-PBEsol) of a geometry-optimized CrOs2Cl2 structure.

```
CrOs2Cl2
1.0
-2.6596 -1.6538 -2.1911
2.7427 -1.7302 -2.0232
-0.2141 -2.7224 5.6484
Cl Os Cr
2 2 1
Cartesian
-1.4161 -3.0341 0.6751
1.2851 -3.0723 0.7591
0.0069 -2.5787 -1.3958
-0.1379 -3.5277 2.8299
0.0000 0.0000 0.0000
```

Crystal system: tetragonal
VASP energy in eV per cell: -33.4
Space-group type: I4/mmm (139)
Formation energy (no corrections) in eV per atom: 1.0655

Entry 6:
The following is a DFT calculation (GGA-PBEsol) of a geometry-optimized CrOs2Cl structure.

```
CrOs2Cl
1.0
-0.2478 -2.1217 -1.7958
-2.6077 -2.0255 2.7524
-2.0008 4.0149 -2.2977
Cl Os Cr
1 2 1
Cartesian
-1.5220 -2.0200 0.4287
-4.8538 -0.1339 -1.3392
-1.9459 -0.0297 -1.8652
-2.8191 -0.1554 0.5720
```

Crystal system: orthorhombic
VASP energy in eV per cell: -33.3
Space-group type: Imm2 (44)
Formation energy (no corrections) in eV per atom: 0.8477
Energy above the most stable polymorph in this dataset in eV per atom: 0.370

Entry 7:
The following is a DFT calculation (GGA-PBEsol) of a geometry-optimized CrOsCl2 structure.

```
CrOsCl2
1.0
2.8388 0.0000 0.0000
0.0000 3.0082 0.0000
0.0000 0.0000 8.0648
Cl Os Cr
2 1 1
Cartesian
0.0000 1.5041 7.6278
1.4194 0.0000 2.5540
1.4194 1.5041 5.6995
0.0000 0.0000 4.2807
```

Crystal system: orthorhombic
VASP energy in eV per cell: -26.8
Space-group type: Pmm2 (25)
Formation energy (no corrections) in eV per atom: -0.0819
Energy above the most stable polymorph in this dataset in eV per atom: 0.000

Entry 8:
The following is a DFT calculation (GGA-PBEsol) of a geometry-optimized CrOs2Cl structure.

```
CrOs2Cl
1.0
2.7078 0.0000 0.0000
0.0000 2.7078 0.0000
0.0000 0.0000 8.0452
Os Cl Cr
2 1 1
Cartesian
0.0000 0.0000 7.8700
1.3539 1.3539 1.6205
0.0000 0.0000 4.6125
1.3539 1.3539 6.0101
```

Crystal system: tetragonal
VASP energy in eV per cell: -34.8
Space-group type: P4mm (99)
Formation energy (no corrections) in eV per atom: 0.4780
Energy above the most stable polymorph in this dataset in eV per atom: 0.000

Entry 9:
The following is a DFT calculation (GGA-PBEsol) of a geometry-optimized CrOs2Cl structure.

```
CrOs2Cl
1.0
-0.8026 -0.3762 -2.6452
2.9065 -1.9814 -0.6002
-3.2880 -5.3561 1.7593
Cl Os Cr
1 2 1
Cartesian
-1.8464 -3.0078 0.9880
0.4942 -2.0873 -1.3242
-0.0025 -0.0041 0.0013
-1.4734 -5.2924 -0.2714
```

Crystal system: orthorhombic
VASP energy in eV per cell: -33.8
Space-group type: Pmm2 (25)
Formation energy (no corrections) in eV per atom: 0.7173
Energy above the most stable polymorph in this dataset in eV per atom: 0.239

Entry 10:
The following is a DFT calculation (GGA-PBEsol) of a geometry-optimized CrOs2Cl structure.

```
CrOs2Cl
1.0
2.8429 0.0000 0.0000
0.0000 4.3605 0.1739
0.0000 -0.1773 4.3604
Cl Cr Os
1 1 2
Cartesian
1.4215 0.0000 0.0000
1.4215 2.0916 2.2671
0.0000 2.1803 0.0870
0.0000 -0.0886 2.1802
```

Crystal system: tetragonal
VASP energy in eV per cell: -32.1
Space-group type: P4/mmm (123)
Formation energy (no corrections) in eV per atom: 1.1414
Energy above the most stable polymorph in this dataset in eV per atom: 0.663

Entry 11:
The following is a DFT calculation (GGA-PBEsol) of a geometry-optimized CrOsCl2 structure.

```
CrOsCl2
1.0
-0.0402 0.0615 -2.8022
2.0857 -1.5834 1.3374
-5.0346 -6.6948 -0.0749
Cl Cr Os
2 1 1
Cartesian
-1.4108 -1.8760 -0.0210
-3.6238 -4.8188 -0.0539
-2.5374 -3.3166 -1.4386
-0.0201 0.0308 -1.4011
```

Crystal system: orthorhombic
VASP energy in eV per cell: -23.3
Space-group type: Cmmm (65)
Formation energy (no corrections) in eV per atom: 0.8028
Energy above the most stable polymorph in this dataset in eV per atom: 0.885

Entry 12:
The following is a DFT calculation (GGA-PBEsol) of a geometry-optimized CrP2Cl structure.

```
CrP2Cl
1.0
-3.4454 -2.1512 1.1041
-0.4501 -4.0107 -1.1954
0.2693 -3.0878 2.8479
P Cr Cl
2 1 1
Cartesian
0.0000 0.0000 0.0000
-0.9065 -2.3124 0.6891
-2.7196 -6.9372 2.0674
-1.8131 -4.6248 1.3783
```

Crystal system: cubic
VASP energy in eV per cell: -21.7
Space-group type: F-43m (216)
Formation energy (no corrections) in eV per atom: 0.5289
Energy above the most stable polymorph in this dataset in eV per atom: 0.584

Entry 13:
The following is a DFT calculation (GGA-PBEsol) of a geometry-optimized CrPCl structure.

```
CrPCl
1.0
4.1327 0.0000 0.0000
2.0664 3.5790 0.0000
2.0664 1.1930 3.3743
P Cl Cr
1 1 1
Cartesian
0.0000 0.0000 0.0000
4.1327 2.3860 1.6872
2.0664 1.1930 0.8436
```

Crystal system: cubic
VASP energy in eV per cell: -17.8
Space-group type: F-43m (216)
Formation energy (no corrections) in eV per atom: 0.0933
Energy above the most stable polymorph in this dataset in eV per atom: 0.000

Entry 14:
The following is a DFT calculation (GGA-PBEsol) of a geometry-optimized CrPCl2 structure.

```
CrPCl2
1.0
4.5064 0.0000 0.0000
2.2532 3.9026 0.0000
2.2532 1.3009 3.6794
P Cr Cl
1 1 2
Cartesian
2.2532 1.3009 0.9199
4.5064 2.6018 1.8397
0.0000 0.0000 0.0000
6.7596 3.9026 2.7596
```

Crystal system: cubic
VASP energy in eV per cell: -18.2
Space-group type: F-43m (216)
Formation energy (no corrections) in eV per atom: 0.4723
Energy above the most stable polymorph in this dataset in eV per atom: 0.711

Entry 15:
The following is a DFT calculation (GGA-PBEsol) of a geometry-optimized CrPCl2 structure.

```
CrPCl2
1.0
-3.5212 0.7079 -1.7954
0.0686 -3.9136 -1.6777
-2.0459 -1.2495 3.5198
P Cr Cl
1 1 2
Cartesian
-1.7606 0.3539 -0.8977
-2.7492 -2.2276 0.0234
-1.4894 -1.9506 2.1519
-0.4878 -3.2125 -0.3098
```

Crystal system: orthorhombic
VASP energy in eV per cell: -19.2
Space-group type: Cmmm (65)
Formation energy (no corrections) in eV per atom: 0.2063
Energy above the most stable polymorph in this dataset in eV per atom: 0.445

Entry 16:
The following is a DFT calculation (GGA-PBEsol) of a geometry-optimized CrPCl structure.

```
CrPCl
1.0
4.2063 0.0000 0.0000
2.1031 3.6427 0.0000
2.1031 1.2142 3.4344
Cl P Cr
1 1 1
Cartesian
2.1031 1.2142 0.8586
4.2063 2.4285 1.7172
0.0000 0.0000 0.0000
```

Crystal system: cubic
VASP energy in eV per cell: -15.1
Space-group type: F-43m (216)
Formation energy (no corrections) in eV per atom: 0.9855
Energy above the most stable polymorph in this dataset in eV per atom: 0.892

Entry 17:
The following is a DFT calculation (GGA-PBEsol) of a geometry-optimized CrPCl2 structure.

```
CrPCl2
1.0
-2.4235 -1.6732 -1.0362
0.4926 -2.6300 -1.6084
-0.6759 -5.6225 5.9569
Cl Cr P
2 1 1
Cartesian
-1.9525 -7.0983 1.9194
-1.9330 -4.5719 -2.2058
-1.3025 -4.8431 1.4605
-0.6532 -2.6785 1.1498
```

Crystal system: trigonal
VASP energy in eV per cell: -21.0
Space-group type: R3m (160)
Formation energy (no corrections) in eV per atom: -0.2390
Energy above the most stable polymorph in this dataset in eV per atom: 0.000

Entry 18:
The following is a DFT calculation (GGA-PBEsol) of a geometry-optimized Cr2PCl structure.

```
Cr2PCl
1.0
-1.5853 -3.9770 -0.9069
2.2110 -2.6831 -2.6580
1.9617 -3.5598 1.6224
P Cl Cr
1 1 2
Cartesian
0.0000 0.0000 0.0000
1.2937 -5.1100 -0.9712
0.6468 -2.5550 -0.4856
1.9405 -7.6649 -1.4568
```

Crystal system: cubic
VASP energy in eV per cell: -27.3
Space-group type: Fm-3m (225)
Formation energy (no corrections) in eV per atom: 0.2497
Energy above the most stable polymorph in this dataset in eV per atom: 0.006

Entry 19:
The following is a DFT calculation (GGA-PBEsol) of a geometry-optimized Cr2PCl structure.

```
Cr2PCl
1.0
-2.0788 -2.2595 -0.4555
1.8850 -2.7796 -3.2987
0.9785 -3.2651 3.2469
Cl Cr P
1 2 1
Cartesian
-1.0394 -1.1297 -0.2278
0.4892 -1.6325 1.6234
0.9425 -1.3898 -1.6493
0.3924 -4.1521 -0.2536
```

Crystal system: monoclinic
VASP energy in eV per cell: -27.3
Space-group type: C2/m (12)
Formation energy (no corrections) in eV per atom: 0.2432
Energy above the most stable polymorph in this dataset in eV per atom: 0.000

Entry 20:
The following is a DFT calculation (GGA-PBEsol) of a geometry-optimized CrPCl2 structure.

```
CrPCl2
1.0
-1.8026 -4.0039 7.2151
4.8314 -0.6464 -4.0953
8.2224 -1.4925 1.2260
Cl P Cr
4 2 2
Cartesian
9.0481 -5.7223 5.0861
5.9458 -4.8113 6.2310
8.6058 -3.1286 2.8857
5.3224 -4.1197 2.9299
3.2099 -2.7482 4.2206
4.0206 -1.6973 0.0626
0.0000 0.0000 0.0000
7.2305 -4.4455 4.2832
```

Crystal system: tetragonal
VASP energy in eV per cell: -41.1
Space-group type: I-42d (122)
Formation energy (no corrections) in eV per atom: -0.1302
Energy above the most stable polymorph in this dataset in eV per atom: 0.109